The following is a PBE calculation of an optimized crystal structure of Ce2SmTl4, from Alexandria via LeMat-Bulk.

The structure in CIF format:
```
data_Ce2SmTl4
_cell_length_a 6.1101
_cell_length_b 6.3151
_cell_length_c 10.9846
_cell_angle_alpha 90.00
_cell_angle_beta 105.09
_cell_angle_gamma 90.00
_symmetry_space_group_name_H-M 'P 1 21/m 1'
_symmetry_Int_Tables_number 11
_symmetry_space_group_name_Hall '-P 2yb'
loop_
_atom_site_label
_atom_site_fract_x
_atom_site_fract_y
_atom_site_fract_z
_atom_site_occupancy
Ce1 0.1218 0.2500 0.4218 1
Ce2 0.3733 0.7500 0.9871 1
Sm1 0.0054 0.2500 0.8136 1
Tl1 0.1688 0.2500 0.1208 1
Tl2 0.3122 0.7500 0.4569 1
Tl3 0.3989 0.0046 0.7183 1
```

Results
The density of states at the Fermi level comes out at 33.1 states/eV/cell. As for the energy relative to the elements: -0.188 eV/atom. The value obtained for the relative energy among the computed polymorphs is 0.00 kcal/mol of atoms.